NaMnBiF6: relaxed, GGA+U.

- Symmetry: P-31c, No. 163
- Raw total energy: -5.267 eV/atom
- Spin magnetization: 10.00 Bohr magnetons per cell

Cell: 5.664 5.664 10.005 Å, 90.00 90.00 120.00°
Each line ends with the local moment (μB).
Element x y z (fractional)
Na: 0.333 0.667 0.250  0.00
Na: 0.667 0.333 0.750  0.00
Mn: 0.667 0.333 0.250  4.68
Mn: 0.333 0.667 0.750  4.68
Bi: 0.000 0.000 0.000  0.03
Bi: 0.000 0.000 0.500  0.03
F: 0.680 0.656 0.132  0.02
F: 0.976 0.320 0.132  0.02
F: 0.320 0.976 0.632  0.02
F: 0.024 0.680 0.868  0.02
F: 0.344 0.320 0.368  0.02
F: 0.976 0.656 0.368  0.02
F: 0.656 0.976 0.868  0.02
F: 0.680 0.024 0.368  0.02
F: 0.024 0.344 0.632  0.02
F: 0.344 0.024 0.132  0.02
F: 0.656 0.680 0.632  0.02
F: 0.320 0.344 0.868  0.02